KH6N: relaxed, GGA-PBE.

Geometry as POSCAR:
```
KH6N
1.0
2.901 1.675 2.364
-2.901 1.675 2.364
0.000 -3.350 2.364
K H N
1 6 1
Direct
0.000 0.000 0.000 K
0.114 0.500 0.500 H
0.500 0.114 0.500 H
0.500 0.500 0.114 H
0.500 0.500 0.886 H
0.500 0.886 0.500 H
0.886 0.500 0.500 H
0.500 0.500 0.500 N
```

Values from the calculation:
As for the total energy: -0.2460 Ry per atom. The density of states at the Fermi level is 0.93 states/eV per cell.